CsAgSb2, optimized geometry, DFT PBE-GGA; energy above the most stable polymorph in this dataset = 0 kJ/mol of formula units; raw total energy = -3.0608 eV/atom; formation energy without anion corrections = -0.073 eV/atom; ρ = 4.730 g/cm³; total magnetic moment = 0.00 μB/f.u.; space group = I4_1/amd, No. 141
1.0
-2.967 2.967 9.655
2.967 -2.967 9.655
2.967 2.967 -9.655
Cs Ag Sb
2 2 4
direct
0.375 0.625 0.750
0.625 0.375 0.250
0.125 0.875 0.250
0.875 0.125 0.750
0.000 0.000 0.000
0.000 0.000 0.500
0.000 0.500 0.000
0.500 0.000 0.500